Here is crystalline HoTmPbC at its relaxed geometry from OQMD via LeMat-Bulk. Energies are from PBE.

Computed properties:
- space-group type = P-6m2, No. 187
- DFT total energy (eV per atom) = -6.02

a = 3.6038 Å, b = 3.6038 Å, c = 15.9487 Å
α = 90.00°, β = 90.00°, γ = 120.00°
With the nearest neighbours (Å) after each atom.
Positions (direct):
Pb  0.3333  0.6667  0.0000  6 Tm 3.39, 6 Pb 3.60
Pb  0.6667  0.3333  0.5000  6 Ho 3.39, 6 Pb 3.60
C  0.0000  0.0000  0.2489  3 Tm 2.45, 3 Ho 2.47
C  0.0000  0.0000  0.7511  3 Tm 2.45, 3 Ho 2.47
Ho  0.3333  0.6667  0.6676  3 C 2.47
Ho  0.3333  0.6667  0.3324  3 C 2.47
Tm  0.6667  0.3333  0.8320  3 C 2.45
Tm  0.6667  0.3333  0.1680  3 C 2.45